[1]
# BaMgZrNi PBE-GGA relaxed
# - size of the total moment (μB per formula unit) = 0.003
# - space-group type = F-43m
data_BaMgZrNi
_cell_length_a 5.0403
_cell_length_b 5.0403
_cell_length_c 5.0403
_cell_angle_alpha 60.00
_cell_angle_beta 60.00
_cell_angle_gamma 60.00
_space_group_name_H-M_alt 'P 1'
_space_group_IT_number 1
loop_
_space_group_symop_operation_xyz
'x,y,z'
loop_
_atom_site_label
_atom_site_type_symbol
_atom_site_fract_x
_atom_site_fract_y
_atom_site_fract_z
_atom_site_occupancy
Ba1 Ba 0.0000 0.0000 0.0000 1
Mg1 Mg 0.7500 0.7500 0.7500 1
Ni1 Ni 0.5000 0.5000 0.5000 1
Zr1 Zr 0.2500 0.2500 0.2500 1


[2]
# BaMgZrNi PBE-GGA relaxed
# - size of the total moment (μB per formula unit) = 0.003
# - space-group type = F-43m
data_BaMgZrNi
_cell_length_a 5.0815
_cell_length_b 5.0815
_cell_length_c 5.0815
_cell_angle_alpha 60.00
_cell_angle_beta 60.00
_cell_angle_gamma 60.00
_space_group_name_H-M_alt 'P 1'
_space_group_IT_number 1
loop_
_space_group_symop_operation_xyz
'x,y,z'
loop_
_atom_site_label
_atom_site_type_symbol
_atom_site_fract_x
_atom_site_fract_y
_atom_site_fract_z
_atom_site_occupancy
Ba1 Ba 0.2500 0.2500 0.2500 1
Mg1 Mg 0.7500 0.7500 0.7500 1
Ni1 Ni 0.5000 0.5000 0.5000 1
Zr1 Zr 0.0000 0.0000 0.0000 1


[3]
# Ba2MgOsS6 PBE-GGA relaxed
# - size of the total moment (μB per formula unit) = 1.636
# - space-group type = C2/m
data_Ba2MgOsS6
_cell_length_a 6.8606
_cell_length_b 6.8606
_cell_length_c 6.8610
_cell_angle_alpha 120.00
_cell_angle_beta 120.00
_cell_angle_gamma 60.01
_space_group_name_H-M_alt 'P 1'
_space_group_IT_number 1
loop_
_space_group_symop_operation_xyz
'x,y,z'
loop_
_atom_site_label
_atom_site_type_symbol
_atom_site_fract_x
_atom_site_fract_y
_atom_site_fract_z
_atom_site_occupancy
Ba1 Ba 0.2501 0.2501 0.2501 1
Ba2 Ba 0.7499 0.7499 0.7499 1
Mg1 Mg 0.5000 0.5000 0.0000 1
Os1 Os 0.0000 0.0000 0.5000 1
S1 S 0.7568 0.7568 0.2528 1
S2 S 0.7589 0.2452 0.2588 1
S3 S 0.2452 0.7589 0.2588 1
S4 S 0.7548 0.2411 0.7412 1
S5 S 0.2411 0.7548 0.7412 1
S6 S 0.2432 0.2432 0.7472 1


[4]
# Ba2MgOsS6 PBE-GGA relaxed
# - size of the total moment (μB per formula unit) = 0.883
# - space-group type = Fm-3m
data_Ba2MgOsS6
_cell_length_a 6.8609
_cell_length_b 6.8609
_cell_length_c 6.8609
_cell_angle_alpha 60.00
_cell_angle_beta 60.00
_cell_angle_gamma 60.00
_space_group_name_H-M_alt 'P 1'
_space_group_IT_number 1
loop_
_space_group_symop_operation_xyz
'x,y,z'
loop_
_atom_site_label
_atom_site_type_symbol
_atom_site_fract_x
_atom_site_fract_y
_atom_site_fract_z
_atom_site_occupancy
Ba1 Ba 0.2500 0.2500 0.2500 1
Ba2 Ba 0.7500 0.7500 0.7500 1
Mg1 Mg 0.5000 0.5000 0.5000 1
Os1 Os 0.0000 0.0000 0.0000 1
S1 S 0.7568 0.2432 0.2432 1
S2 S 0.2432 0.7568 0.2432 1
S3 S 0.7568 0.7568 0.2432 1
S4 S 0.2432 0.2432 0.7568 1
S5 S 0.7568 0.2432 0.7568 1
S6 S 0.2432 0.7568 0.7568 1


[5]
# Ba2MgOsSe6 PBE-GGA relaxed
# - size of the total moment (μB per formula unit) = 0.980
# - space-group type = C2/m
data_Ba2MgOsSe6
_cell_length_a 7.2000
_cell_length_b 7.2000
_cell_length_c 7.2003
_cell_angle_alpha 119.99
_cell_angle_beta 119.99
_cell_angle_gamma 60.01
_space_group_name_H-M_alt 'P 1'
_space_group_IT_number 1
loop_
_space_group_symop_operation_xyz
'x,y,z'
loop_
_atom_site_label
_atom_site_type_symbol
_atom_site_fract_x
_atom_site_fract_y
_atom_site_fract_z
_atom_site_occupancy
Ba1 Ba 0.2501 0.2501 0.2500 1
Ba2 Ba 0.7499 0.7499 0.7500 1
Mg1 Mg 0.5000 0.5000 0.0000 1
Os1 Os 0.0000 0.0000 0.5000 1
Se1 Se 0.7551 0.7551 0.2503 1
Se2 Se 0.7576 0.2473 0.2575 1
Se3 Se 0.2473 0.7576 0.2575 1
Se4 Se 0.7527 0.2424 0.7425 1
Se5 Se 0.2424 0.7527 0.7425 1
Se6 Se 0.2449 0.2449 0.7497 1


[6]
# Ba2MgOsSe6 PBE-GGA relaxed
# - size of the total moment (μB per formula unit) = 0.156
# - space-group type = I4/m
data_Ba2MgOsSe6
_cell_length_a 7.2062
_cell_length_b 7.2062
_cell_length_c 7.2062
_cell_angle_alpha 120.02
_cell_angle_beta 120.02
_cell_angle_gamma 89.97
_space_group_name_H-M_alt 'P 1'
_space_group_IT_number 1
loop_
_space_group_symop_operation_xyz
'x,y,z'
loop_
_atom_site_label
_atom_site_type_symbol
_atom_site_fract_x
_atom_site_fract_y
_atom_site_fract_z
_atom_site_occupancy
Ba1 Ba 0.7500 0.2500 0.5000 1
Ba2 Ba 0.2500 0.7500 0.5000 1
Mg1 Mg 0.5000 0.5000 0.0000 1
Os1 Os 0.0000 0.0000 0.0000 1
Se1 Se 0.2444 0.2444 0.0000 1
Se2 Se 0.7556 0.7556 0.0000 1
Se3 Se 0.7629 0.2517 0.0146 1
Se4 Se 0.2517 0.2371 0.4888 1
Se5 Se 0.7483 0.7629 0.5112 1
Se6 Se 0.2371 0.7483 0.9854 1


[7]
# Ba2MgOsSe6 PBE-GGA relaxed
# - size of the total moment (μB per formula unit) = 0.148
# - space-group type = Fm-3m
data_Ba2MgOsSe6
_cell_length_a 7.2009
_cell_length_b 7.2009
_cell_length_c 7.2009
_cell_angle_alpha 120.01
_cell_angle_beta 120.01
_cell_angle_gamma 89.98
_space_group_name_H-M_alt 'P 1'
_space_group_IT_number 1
loop_
_space_group_symop_operation_xyz
'x,y,z'
loop_
_atom_site_label
_atom_site_type_symbol
_atom_site_fract_x
_atom_site_fract_y
_atom_site_fract_z
_atom_site_occupancy
Ba1 Ba 0.7500 0.2500 0.5000 1
Ba2 Ba 0.2500 0.7500 0.5000 1
Mg1 Mg 0.5000 0.5000 0.0000 1
Os1 Os 0.0000 0.0000 0.0000 1
Se1 Se 0.7551 0.2449 0.0000 1
Se2 Se 0.2449 0.2449 0.0000 1
Se3 Se 0.7551 0.7551 0.0000 1
Se4 Se 0.2449 0.7551 0.0000 1
Se5 Se 0.2449 0.2449 0.4898 1
Se6 Se 0.7551 0.7551 0.5102 1


[8]
# BaMgTeOs PBE-GGA relaxed
# - size of the total moment (μB per formula unit) = 1.905
# - space-group type = F-43m
data_BaMgTeOs
_cell_length_a 5.3425
_cell_length_b 5.3425
_cell_length_c 5.3425
_cell_angle_alpha 60.00
_cell_angle_beta 60.00
_cell_angle_gamma 60.00
_space_group_name_H-M_alt 'P 1'
_space_group_IT_number 1
loop_
_space_group_symop_operation_xyz
'x,y,z'
loop_
_atom_site_label
_atom_site_type_symbol
_atom_site_fract_x
_atom_site_fract_y
_atom_site_fract_z
_atom_site_occupancy
Ba1 Ba 0.2500 0.2500 0.2500 1
Mg1 Mg 0.7500 0.7500 0.7500 1
Os1 Os 0.0000 0.0000 0.0000 1
Te1 Te 0.5000 0.5000 0.5000 1


[9]
# BaMgTeOs PBE-GGA relaxed
# - size of the total moment (μB per formula unit) = 0.005
# - space-group type = F-43m
data_BaMgTeOs
_cell_length_a 5.0919
_cell_length_b 5.0919
_cell_length_c 5.0919
_cell_angle_alpha 60.00
_cell_angle_beta 60.00
_cell_angle_gamma 60.00
_space_group_name_H-M_alt 'P 1'
_space_group_IT_number 1
loop_
_space_group_symop_operation_xyz
'x,y,z'
loop_
_atom_site_label
_atom_site_type_symbol
_atom_site_fract_x
_atom_site_fract_y
_atom_site_fract_z
_atom_site_occupancy
Ba1 Ba 0.0000 0.0000 0.0000 1
Mg1 Mg 0.7500 0.7500 0.7500 1
Os1 Os 0.2500 0.2500 0.2500 1
Te1 Te 0.5000 0.5000 0.5000 1


[10]
# BaMgTeOs PBE-GGA relaxed
# - size of the total moment (μB per formula unit) = 0.010
# - space-group type = F-43m
data_BaMgTeOs
_cell_length_a 5.1403
_cell_length_b 5.1403
_cell_length_c 5.1403
_cell_angle_alpha 60.00
_cell_angle_beta 60.00
_cell_angle_gamma 60.00
_space_group_name_H-M_alt 'P 1'
_space_group_IT_number 1
loop_
_space_group_symop_operation_xyz
'x,y,z'
loop_
_atom_site_label
_atom_site_type_symbol
_atom_site_fract_x
_atom_site_fract_y
_atom_site_fract_z
_atom_site_occupancy
Ba1 Ba 0.5000 0.5000 0.5000 1
Mg1 Mg 0.7500 0.7500 0.7500 1
Os1 Os 0.0000 0.0000 0.0000 1
Te1 Te 0.2500 0.2500 0.2500 1


[11]
# BaMgOsW PBE-GGA relaxed
# - size of the total moment (μB per formula unit) = 0.184
# - space-group type = F-43m
data_BaMgOsW
_cell_length_a 4.9286
_cell_length_b 4.9286
_cell_length_c 4.9286
_cell_angle_alpha 60.00
_cell_angle_beta 60.00
_cell_angle_gamma 60.00
_space_group_name_H-M_alt 'P 1'
_space_group_IT_number 1
loop_
_space_group_symop_operation_xyz
'x,y,z'
loop_
_atom_site_label
_atom_site_type_symbol
_atom_site_fract_x
_atom_site_fract_y
_atom_site_fract_z
_atom_site_occupancy
Ba1 Ba 0.0000 0.0000 0.0000 1
Mg1 Mg 0.7500 0.7500 0.7500 1
Os1 Os 0.2500 0.2500 0.2500 1
W1 W 0.5000 0.5000 0.5000 1


[12]
# BaMgOsW PBE-GGA relaxed
# - size of the total moment (μB per formula unit) = 0.006
# - space-group type = F-43m
data_BaMgOsW
_cell_length_a 4.8502
_cell_length_b 4.8502
_cell_length_c 4.8502
_cell_angle_alpha 60.00
_cell_angle_beta 60.00
_cell_angle_gamma 60.00
_space_group_name_H-M_alt 'P 1'
_space_group_IT_number 1
loop_
_space_group_symop_operation_xyz
'x,y,z'
loop_
_atom_site_label
_atom_site_type_symbol
_atom_site_fract_x
_atom_site_fract_y
_atom_site_fract_z
_atom_site_occupancy
Ba1 Ba 0.5000 0.5000 0.5000 1
Mg1 Mg 0.7500 0.7500 0.7500 1
Os1 Os 0.0000 0.0000 0.0000 1
W1 W 0.2500 0.2500 0.2500 1


[13]
# BaMgOsW PBE-GGA relaxed
# - size of the total moment (μB per formula unit) = 0.545
# - space-group type = F-43m
data_BaMgOsW
_cell_length_a 4.8475
_cell_length_b 4.8475
_cell_length_c 4.8475
_cell_angle_alpha 60.00
_cell_angle_beta 60.00
_cell_angle_gamma 60.00
_space_group_name_H-M_alt 'P 1'
_space_group_IT_number 1
loop_
_space_group_symop_operation_xyz
'x,y,z'
loop_
_atom_site_label
_atom_site_type_symbol
_atom_site_fract_x
_atom_site_fract_y
_atom_site_fract_z
_atom_site_occupancy
Ba1 Ba 0.2500 0.2500 0.2500 1
Mg1 Mg 0.7500 0.7500 0.7500 1
Os1 Os 0.0000 0.0000 0.0000 1
W1 W 0.5000 0.5000 0.5000 1


[14]
# BaMgZn2P PBE-GGA relaxed
# - space-group type = I4mm
data_BaMgZn2P
_cell_length_a 6.4890
_cell_length_b 6.4890
_cell_length_c 6.4890
_cell_angle_alpha 139.36
_cell_angle_beta 139.36
_cell_angle_gamma 58.83
_space_group_name_H-M_alt 'P 1'
_space_group_IT_number 1
loop_
_space_group_symop_operation_xyz
'x,y,z'
loop_
_atom_site_label
_atom_site_type_symbol
_atom_site_fract_x
_atom_site_fract_y
_atom_site_fract_z
_atom_site_occupancy
Ba1 Ba 0.9945 0.9945 0.0000 1
Mg1 Mg 0.6178 0.6178 0.0000 1
P1 P 0.3857 0.3857 0.0000 1
Zn1 Zn 0.7510 0.2510 0.5000 1
Zn2 Zn 0.2510 0.7510 0.5000 1


Number 1: calculated total energy -15.6 eV/cell, volume 90.5 Å³/f.u.. Number 2: calculated total energy -15.2 eV/cell, volume 92.8 Å³/f.u.. Number 3: calculated total energy -51.2 eV/cell, volume 228.4 Å³/f.u.. Number 4: calculated total energy -51.2 eV/cell, volume 228.4 Å³/f.u.. Number 5: calculated total energy -46.1 eV/cell, volume 264.0 Å³/f.u.. Number 6: calculated total energy -46.1 eV/cell, volume 264.5 Å³/f.u.. Number 7: calculated total energy -46.1 eV/cell, volume 264.0 Å³/f.u.. Number 8: calculated total energy -15.8 eV/cell, volume 107.8 Å³/f.u.. Number 9: calculated total energy -15.7 eV/cell, volume 93.4 Å³/f.u.. Number 10: calculated total energy -16.1 eV/cell, volume 96.0 Å³/f.u.. Number 11: calculated total energy -22.6 eV/cell, volume 84.7 Å³/f.u.. Number 12: calculated total energy -23.3 eV/cell, volume 80.7 Å³/f.u.. Number 13: calculated total energy -21.4 eV/cell, volume 80.5 Å³/f.u.. Number 14: calculated total energy -13.1 eV/cell, volume 114.8 Å³/f.u..